Record 1
## Pr2Ga2Ag (PBE)

Data for a geometry-optimized Pr2Ga2Ag structure.

For the total moment, the calculation gives 0.00 μB/cell. The calculation puts the density of states at the Fermi level at 14.4 states/eV/cell. Its crystal system is monoclinic. For the formation energy, the calculation gives -0.5062 eV/atom.

The structure in CIF format:
```
data_Pr2Ga2Ag
_chemical_formula_sum 'Pr8 Ga8 Ag4'
_space_group_name_H-M_alt 'C 1 2/m 1'
_space_group_IT_number 12
_cell_length_a 10.9626
_cell_length_b 4.6238
_cell_length_c 11.1536
_cell_angle_alpha 90.00
_cell_angle_beta 118.77
_cell_angle_gamma 90.00
loop_
_space_group_symop_operation_xyz
'x,y,z'
'-x,-y,-z'
'-x,y,-z'
'x,-y,z'
'x+1/2,y+1/2,z'
'-x+1/2,-y+1/2,-z'
'-x+1/2,y+1/2,-z'
'x+1/2,-y+1/2,z'
loop_
_atom_site_label
_atom_site_type_symbol
_atom_site_fract_x
_atom_site_fract_y
_atom_site_fract_z
Pr1 Pr 0.0170 0.0000 0.3276
Pr2 Pr 0.1888 0.0000 0.1089
Ga1 Ga 0.0232 0.5000 0.8931
Ga2 Ga 0.1334 0.5000 0.5619
Ag1 Ag 0.2279 0.5000 0.3495
```


Record 2
## Pr4GaAg3 (PBE)

Data for a geometry-optimized Pr4GaAg3 structure.

For the total moment, the calculation gives 0.01 μB/cell. The calculation puts the density of states at the Fermi level at 7.2 states/eV/cell. Its crystal system is tetragonal. For the formation energy, the calculation gives -0.3238 eV/atom.

The structure in CIF format:
```
data_Pr4GaAg3
_chemical_formula_sum 'Pr4 Ga1 Ag3'
_space_group_name_H-M_alt 'P 4/m m m'
_space_group_IT_number 123
_space_group_name_Hall '-P 4 2'
_cell_length_a 3.7315
_cell_length_b 3.7315
_cell_length_c 15.3518
_cell_angle_alpha 90.00
_cell_angle_beta 90.00
_cell_angle_gamma 90.00
loop_
_atom_site_label
_atom_site_type_symbol
_atom_site_fract_x
_atom_site_fract_y
_atom_site_fract_z
Pr1 Pr 0.0000 0.0000 0.1206
Pr2 Pr 0.0000 0.0000 0.3731
Ga1 Ga 0.5000 0.5000 0.0000
Ag1 Ag 0.5000 0.5000 0.2489
Ag2 Ag 0.5000 0.5000 0.5000
```